No. 1
An optimized crystal structure of NaSr6Cl12. Source: Alexandria via LeMat-Bulk, functional PBE.

The structure in CIF format:
```
data_NaSr6Cl12
_chemical_formula_sum 'Na1 Sr6 Cl12'
_cell_length_a 8.578
_cell_length_b 8.578
_cell_length_c 8.578
_cell_angle_alpha 99.79
_cell_angle_beta 99.79
_cell_angle_gamma 99.79
_symmetry_space_group_name_H-M 'P 1'
_symmetry_Int_Tables_number 1
_symmetry_space_group_name_Hall 'P 1'
loop_
_atom_site_label
_atom_site_type_symbol
_atom_site_fract_x
_atom_site_fract_y
_atom_site_fract_z
_atom_site_occupancy
Na1 Na 0.000 0.000 0.000 1
Sr1 Sr 0.135 0.288 0.600 1
Sr2 Sr 0.712 0.400 0.865 1
Sr3 Sr 0.400 0.865 0.712 1
Sr4 Sr 0.865 0.712 0.400 1
Sr5 Sr 0.288 0.600 0.135 1
Sr6 Sr 0.600 0.135 0.288 1
Cl1 Cl 0.443 0.177 0.589 1
Cl2 Cl 0.177 0.589 0.443 1
Cl3 Cl 0.589 0.443 0.177 1
Cl4 Cl 0.557 0.823 0.411 1
Cl5 Cl 0.823 0.411 0.557 1
Cl6 Cl 0.411 0.557 0.823 1
Cl7 Cl 0.074 0.943 0.680 1
Cl8 Cl 0.320 0.926 0.057 1
Cl9 Cl 0.057 0.320 0.926 1
Cl10 Cl 0.926 0.057 0.320 1
Cl11 Cl 0.680 0.074 0.943 1
Cl12 Cl 0.943 0.680 0.074 1
```

=====

No. 2
An optimized crystal structure of Na3Sr5Cl12. Source: Alexandria via LeMat-Bulk, functional PBE.

The structure in CIF format:
```
data_Na3Sr5Cl12
_chemical_formula_sum 'Na12 Sr20 Cl48'
_cell_length_a 15.327
_cell_length_b 15.327
_cell_length_c 15.327
_cell_angle_alpha 109.47
_cell_angle_beta 109.47
_cell_angle_gamma 109.47
_symmetry_space_group_name_H-M 'P 1'
_symmetry_Int_Tables_number 1
_symmetry_space_group_name_Hall 'P 1'
loop_
_atom_site_label
_atom_site_type_symbol
_atom_site_fract_x
_atom_site_fract_y
_atom_site_fract_z
_atom_site_occupancy
Na1 Na 0.750 0.375 0.125 1
Na2 Na 0.875 0.750 0.125 1
Na3 Na 0.375 0.750 0.625 1
Na4 Na 0.250 0.125 0.375 1
Na5 Na 0.875 0.125 0.250 1
Na6 Na 0.375 0.625 0.250 1
Na7 Na 0.625 0.375 0.750 1
Na8 Na 0.125 0.875 0.750 1
Na9 Na 0.750 0.875 0.625 1
Na10 Na 0.625 0.250 0.375 1
Na11 Na 0.125 0.250 0.875 1
Na12 Na 0.250 0.625 0.875 1
Sr1 Sr 0.125 0.375 0.250 1
Sr2 Sr 0.000 0.500 0.000 1
Sr3 Sr 0.000 0.000 0.000 1
Sr4 Sr 0.375 0.250 0.125 1
Sr5 Sr 0.500 0.000 0.500 1
Sr6 Sr 0.500 0.500 0.000 1
Sr7 Sr 0.125 0.750 0.375 1
Sr8 Sr 0.750 0.125 0.875 1
Sr9 Sr 0.750 0.625 0.375 1
Sr10 Sr 0.375 0.125 0.750 1
Sr11 Sr 0.625 0.875 0.250 1
Sr12 Sr 0.500 0.500 0.500 1
Sr13 Sr 0.500 0.000 0.000 1
Sr14 Sr 0.000 0.000 0.500 1
Sr15 Sr 0.250 0.375 0.625 1
Sr16 Sr 0.250 0.875 0.125 1
Sr17 Sr 0.000 0.500 0.500 1
Sr18 Sr 0.875 0.250 0.625 1
Sr19 Sr 0.625 0.750 0.875 1
Sr20 Sr 0.875 0.625 0.750 1
Cl1 Cl 0.716 0.125 0.042 1
Cl2 Cl 0.326 0.542 0.417 1
Cl3 Cl 0.958 0.375 0.284 1
Cl4 Cl 0.542 0.216 0.125 1
Cl5 Cl 0.591 0.716 0.674 1
Cl6 Cl 0.958 0.583 0.174 1
Cl7 Cl 0.326 0.784 0.409 1
Cl8 Cl 0.083 0.909 0.125 1
Cl9 Cl 0.583 0.958 0.674 1
Cl10 Cl 0.716 0.591 0.174 1
Cl11 Cl 0.784 0.458 0.375 1
Cl12 Cl 0.826 0.917 0.042 1
Cl13 Cl 0.125 0.716 0.542 1
Cl14 Cl 0.375 0.417 0.091 1
Cl15 Cl 0.091 0.917 0.375 1
Cl16 Cl 0.409 0.125 0.583 1
Cl17 Cl 0.091 0.174 0.216 1
Cl18 Cl 0.458 0.674 0.083 1
Cl19 Cl 0.826 0.909 0.284 1
Cl20 Cl 0.125 0.409 0.083 1
Cl21 Cl 0.375 0.958 0.784 1
Cl22 Cl 0.583 0.625 0.409 1
Cl23 Cl 0.917 0.826 0.542 1
Cl24 Cl 0.784 0.326 0.909 1
Cl25 Cl 0.417 0.375 0.591 1
Cl26 Cl 0.083 0.174 0.458 1
Cl27 Cl 0.216 0.674 0.091 1
Cl28 Cl 0.174 0.091 0.716 1
Cl29 Cl 0.625 0.042 0.216 1
Cl30 Cl 0.875 0.591 0.917 1
Cl31 Cl 0.542 0.326 0.917 1
Cl32 Cl 0.591 0.875 0.417 1
Cl33 Cl 0.909 0.826 0.784 1
Cl34 Cl 0.909 0.083 0.625 1
Cl35 Cl 0.875 0.284 0.458 1
Cl36 Cl 0.174 0.083 0.958 1
Cl37 Cl 0.625 0.583 0.909 1
Cl38 Cl 0.417 0.042 0.326 1
Cl39 Cl 0.284 0.409 0.826 1
Cl40 Cl 0.216 0.542 0.625 1
Cl41 Cl 0.917 0.091 0.875 1
Cl42 Cl 0.674 0.216 0.591 1
Cl43 Cl 0.458 0.784 0.875 1
Cl44 Cl 0.042 0.417 0.826 1
Cl45 Cl 0.409 0.284 0.326 1
Cl46 Cl 0.042 0.625 0.716 1
Cl47 Cl 0.674 0.458 0.583 1
Cl48 Cl 0.284 0.875 0.958 1
```

=====

No. 3
# Na3SrCl (PBE, relaxed)
data_Na3SrCl
_chemical_formula_sum 'Na3 Sr1 Cl1'
_cell_length_a 5.786
_cell_length_b 5.786
_cell_length_c 5.786
_cell_angle_alpha 90.00
_cell_angle_beta 90.00
_cell_angle_gamma 90.00
_symmetry_space_group_name_H-M 'P 1'
_symmetry_Int_Tables_number 1
_symmetry_space_group_name_Hall 'P 1'
loop_
_atom_site_label
_atom_site_type_symbol
_atom_site_fract_x
_atom_site_fract_y
_atom_site_fract_z
_atom_site_occupancy
Sr1 Sr 0.500 0.500 0.500 1
Na1 Na 0.000 0.500 0.000 1
Na2 Na 0.000 0.000 0.500 1
Na3 Na 0.500 0.000 0.000 1
Cl1 Cl 0.000 0.000 0.000 1
# relative energy among the computed polymorphs	0	kJ/mol of formula units

=====

No. 4
# NaSrCl3 (PBE, relaxed)
data_NaSrCl3
_chemical_formula_sum 'Na1 Sr1 Cl3'
_cell_length_a 5.661
_cell_length_b 5.661
_cell_length_c 5.661
_cell_angle_alpha 90.00
_cell_angle_beta 90.00
_cell_angle_gamma 90.00
_symmetry_space_group_name_H-M 'P 1'
_symmetry_Int_Tables_number 1
_symmetry_space_group_name_Hall 'P 1'
loop_
_atom_site_label
_atom_site_type_symbol
_atom_site_fract_x
_atom_site_fract_y
_atom_site_fract_z
_atom_site_occupancy
Sr1 Sr 0.000 0.000 0.000 1
Na1 Na 0.500 0.500 0.500 1
Cl1 Cl 0.000 0.500 0.000 1
Cl2 Cl 0.000 0.000 0.500 1
Cl3 Cl 0.500 0.000 0.000 1
# relative energy among the computed polymorphs	76	kJ/mol of formula units

=====

No. 5
# NaSrCl (PBE, relaxed)
data_NaSrCl
_chemical_formula_sum 'Na1 Sr1 Cl1'
_cell_length_a 4.224
_cell_length_b 4.224
_cell_length_c 7.072
_cell_angle_alpha 90.00
_cell_angle_beta 90.00
_cell_angle_gamma 120.00
_symmetry_space_group_name_H-M 'P 1'
_symmetry_Int_Tables_number 1
_symmetry_space_group_name_Hall 'P 1'
loop_
_atom_site_label
_atom_site_type_symbol
_atom_site_fract_x
_atom_site_fract_y
_atom_site_fract_z
_atom_site_occupancy
Sr1 Sr 0.667 0.333 0.389 1
Cl1 Cl 0.333 0.667 0.653 1
Na1 Na 0.000 0.000 0.958 1
# relative energy among the computed polymorphs	14	kJ/mol of formula units

=====

No. 6
An optimized crystal structure of Na3Sr12Cl5. Source: Alexandria via LeMat-Bulk, functional PBE.

The structure in CIF format:
```
data_Na3Sr12Cl5
_chemical_formula_sum 'Na12 Sr48 Cl20'
_cell_length_a 16.813
_cell_length_b 16.813
_cell_length_c 16.813
_cell_angle_alpha 109.47
_cell_angle_beta 109.47
_cell_angle_gamma 109.47
_symmetry_space_group_name_H-M 'P 1'
_symmetry_Int_Tables_number 1
_symmetry_space_group_name_Hall 'P 1'
loop_
_atom_site_label
_atom_site_type_symbol
_atom_site_fract_x
_atom_site_fract_y
_atom_site_fract_z
_atom_site_occupancy
Na1 Na 0.750 0.375 0.125 1
Na2 Na 0.875 0.750 0.125 1
Na3 Na 0.375 0.750 0.625 1
Na4 Na 0.250 0.125 0.375 1
Na5 Na 0.875 0.125 0.250 1
Na6 Na 0.375 0.625 0.250 1
Na7 Na 0.625 0.375 0.750 1
Na8 Na 0.125 0.875 0.750 1
Na9 Na 0.750 0.875 0.625 1
Na10 Na 0.625 0.250 0.375 1
Na11 Na 0.125 0.250 0.875 1
Na12 Na 0.250 0.625 0.875 1
Cl1 Cl 0.125 0.375 0.250 1
Cl2 Cl 0.000 0.500 0.000 1
Cl3 Cl 0.000 0.000 0.000 1
Cl4 Cl 0.375 0.250 0.125 1
Cl5 Cl 0.500 0.000 0.500 1
Cl6 Cl 0.500 0.500 0.000 1
Cl7 Cl 0.125 0.750 0.375 1
Cl8 Cl 0.750 0.125 0.875 1
Cl9 Cl 0.750 0.625 0.375 1
Cl10 Cl 0.375 0.125 0.750 1
Cl11 Cl 0.625 0.875 0.250 1
Cl12 Cl 0.500 0.500 0.500 1
Cl13 Cl 0.500 0.000 0.000 1
Cl14 Cl 0.000 0.000 0.500 1
Cl15 Cl 0.250 0.375 0.625 1
Cl16 Cl 0.250 0.875 0.125 1
Cl17 Cl 0.000 0.500 0.500 1
Cl18 Cl 0.875 0.250 0.625 1
Cl19 Cl 0.625 0.750 0.875 1
Cl20 Cl 0.875 0.625 0.750 1
Sr1 Sr 0.710 0.115 0.027 1
Sr2 Sr 0.317 0.527 0.412 1
Sr3 Sr 0.973 0.385 0.290 1
Sr4 Sr 0.527 0.210 0.115 1
Sr5 Sr 0.595 0.710 0.683 1
Sr6 Sr 0.973 0.588 0.183 1
Sr7 Sr 0.317 0.790 0.405 1
Sr8 Sr 0.088 0.905 0.115 1
Sr9 Sr 0.588 0.973 0.683 1
Sr10 Sr 0.710 0.595 0.183 1
Sr11 Sr 0.790 0.473 0.385 1
Sr12 Sr 0.817 0.912 0.027 1
Sr13 Sr 0.115 0.710 0.527 1
Sr14 Sr 0.385 0.412 0.095 1
Sr15 Sr 0.095 0.912 0.385 1
Sr16 Sr 0.405 0.115 0.588 1
Sr17 Sr 0.095 0.183 0.210 1
Sr18 Sr 0.473 0.683 0.088 1
Sr19 Sr 0.817 0.905 0.290 1
Sr20 Sr 0.115 0.405 0.088 1
Sr21 Sr 0.385 0.973 0.790 1
Sr22 Sr 0.588 0.615 0.405 1
Sr23 Sr 0.912 0.817 0.527 1
Sr24 Sr 0.790 0.317 0.905 1
Sr25 Sr 0.412 0.385 0.595 1
Sr26 Sr 0.088 0.183 0.473 1
Sr27 Sr 0.210 0.683 0.095 1
Sr28 Sr 0.183 0.095 0.710 1
Sr29 Sr 0.615 0.027 0.210 1
Sr30 Sr 0.885 0.595 0.912 1
Sr31 Sr 0.527 0.317 0.912 1
Sr32 Sr 0.595 0.885 0.412 1
Sr33 Sr 0.905 0.817 0.790 1
Sr34 Sr 0.905 0.088 0.615 1
Sr35 Sr 0.885 0.290 0.473 1
Sr36 Sr 0.183 0.088 0.973 1
Sr37 Sr 0.615 0.588 0.905 1
Sr38 Sr 0.412 0.027 0.317 1
Sr39 Sr 0.290 0.405 0.817 1
Sr40 Sr 0.210 0.527 0.615 1
Sr41 Sr 0.912 0.095 0.885 1
Sr42 Sr 0.683 0.210 0.595 1
Sr43 Sr 0.473 0.790 0.885 1
Sr44 Sr 0.027 0.412 0.817 1
Sr45 Sr 0.405 0.290 0.317 1
Sr46 Sr 0.027 0.615 0.710 1
Sr47 Sr 0.683 0.473 0.588 1
Sr48 Sr 0.290 0.885 0.973 1
```

=====

No. 7
An optimized crystal structure of Na5Sr3Cl12. Source: Alexandria via LeMat-Bulk, functional PBE.

The structure in CIF format:
```
data_Na5Sr3Cl12
_chemical_formula_sum 'Na20 Sr12 Cl48'
_cell_length_a 14.438
_cell_length_b 14.438
_cell_length_c 14.438
_cell_angle_alpha 109.47
_cell_angle_beta 109.47
_cell_angle_gamma 109.47
_symmetry_space_group_name_H-M 'P 1'
_symmetry_Int_Tables_number 1
_symmetry_space_group_name_Hall 'P 1'
loop_
_atom_site_label
_atom_site_type_symbol
_atom_site_fract_x
_atom_site_fract_y
_atom_site_fract_z
_atom_site_occupancy
Sr1 Sr 0.750 0.375 0.125 1
Sr2 Sr 0.875 0.750 0.125 1
Sr3 Sr 0.375 0.750 0.625 1
Sr4 Sr 0.250 0.125 0.375 1
Sr5 Sr 0.875 0.125 0.250 1
Sr6 Sr 0.375 0.625 0.250 1
Sr7 Sr 0.625 0.375 0.750 1
Sr8 Sr 0.125 0.875 0.750 1
Sr9 Sr 0.750 0.875 0.625 1
Sr10 Sr 0.625 0.250 0.375 1
Sr11 Sr 0.125 0.250 0.875 1
Sr12 Sr 0.250 0.625 0.875 1
Na1 Na 0.125 0.375 0.250 1
Na2 Na 0.000 0.500 0.000 1
Na3 Na 0.000 0.000 0.000 1
Na4 Na 0.375 0.250 0.125 1
Na5 Na 0.500 0.000 0.500 1
Na6 Na 0.500 0.500 0.000 1
Na7 Na 0.125 0.750 0.375 1
Na8 Na 0.750 0.125 0.875 1
Na9 Na 0.750 0.625 0.375 1
Na10 Na 0.375 0.125 0.750 1
Na11 Na 0.625 0.875 0.250 1
Na12 Na 0.500 0.500 0.500 1
Na13 Na 0.500 0.000 0.000 1
Na14 Na 0.000 0.000 0.500 1
Na15 Na 0.250 0.375 0.625 1
Na16 Na 0.250 0.875 0.125 1
Na17 Na 0.000 0.500 0.500 1
Na18 Na 0.875 0.250 0.625 1
Na19 Na 0.625 0.750 0.875 1
Na20 Na 0.875 0.625 0.750 1
Cl1 Cl 0.724 0.134 0.048 1
Cl2 Cl 0.324 0.548 0.414 1
Cl3 Cl 0.952 0.366 0.276 1
Cl4 Cl 0.548 0.224 0.134 1
Cl5 Cl 0.590 0.724 0.676 1
Cl6 Cl 0.952 0.586 0.176 1
Cl7 Cl 0.324 0.776 0.410 1
Cl8 Cl 0.086 0.910 0.134 1
Cl9 Cl 0.586 0.952 0.676 1
Cl10 Cl 0.724 0.590 0.176 1
Cl11 Cl 0.776 0.452 0.366 1
Cl12 Cl 0.824 0.914 0.048 1
Cl13 Cl 0.134 0.724 0.548 1
Cl14 Cl 0.366 0.414 0.090 1
Cl15 Cl 0.090 0.914 0.366 1
Cl16 Cl 0.410 0.134 0.586 1
Cl17 Cl 0.090 0.176 0.224 1
Cl18 Cl 0.452 0.676 0.086 1
Cl19 Cl 0.824 0.910 0.276 1
Cl20 Cl 0.134 0.410 0.086 1
Cl21 Cl 0.366 0.952 0.776 1
Cl22 Cl 0.586 0.634 0.410 1
Cl23 Cl 0.914 0.824 0.548 1
Cl24 Cl 0.776 0.324 0.910 1
Cl25 Cl 0.414 0.366 0.590 1
Cl26 Cl 0.086 0.176 0.452 1
Cl27 Cl 0.224 0.676 0.090 1
Cl28 Cl 0.176 0.090 0.724 1
Cl29 Cl 0.634 0.048 0.224 1
Cl30 Cl 0.866 0.590 0.914 1
Cl31 Cl 0.548 0.324 0.914 1
Cl32 Cl 0.590 0.866 0.414 1
Cl33 Cl 0.910 0.824 0.776 1
Cl34 Cl 0.910 0.086 0.634 1
Cl35 Cl 0.866 0.276 0.452 1
Cl36 Cl 0.176 0.086 0.952 1
Cl37 Cl 0.634 0.586 0.910 1
Cl38 Cl 0.414 0.048 0.324 1
Cl39 Cl 0.276 0.410 0.824 1
Cl40 Cl 0.224 0.548 0.634 1
Cl41 Cl 0.914 0.090 0.866 1
Cl42 Cl 0.676 0.224 0.590 1
Cl43 Cl 0.452 0.776 0.866 1
Cl44 Cl 0.048 0.414 0.824 1
Cl45 Cl 0.410 0.276 0.324 1
Cl46 Cl 0.048 0.634 0.724 1
Cl47 Cl 0.676 0.452 0.586 1
Cl48 Cl 0.276 0.866 0.952 1
```

=====

no.,uncorrected formation energy (eV per formula unit)
1,-43.50
2,-41.02
3,-2.36
4,-9.90
5,-3.27
6,-14.13
7,-38.35